First-principles (PBE-GGA) data for an optimized crystal structure of AcTbSe2S, as listed in Alexandria via LeMat-Bulk.

Structure (POSCAR):
```
AcTbSe2S
1.0
4.335 0.000 0.000
0.000 4.335 0.000
0.000 0.000 15.000
Ac Tb Se S
2 2 4 2
Cartesian
1.084 1.084 1.928
3.251 3.251 13.071
1.084 1.084 9.054
3.251 3.251 5.945
1.084 1.084 6.097
1.084 1.084 11.772
3.251 3.251 3.227
3.251 3.251 8.902
1.084 3.251 0.000
3.251 1.084 0.000
```

Calculated values
Formation energy (no corrections): -1.8093 eV per atom
Crystal system: tetragonal
Magnetic moment: 0.0 μB per cell
Volume: 281.9 Å³ per cell
Space group: P4/nmm, No. 129